Sc3NbAg | PBE-GGA | optimized geometry

The structure belongs to space group Pm-3m (No. 221); the cell edges are 5.066, 5.066 and 5.066 Å and the angles 90.00°, 90.00° and 90.00°. The asymmetric unit holds Sc at (0.000, 0.000, 0.500), Nb at (0.000, 0.000, 0.000) and Ag at (0.500, 0.500, 0.500).

The total magnetization is 0.00 μB per formula unit. The formation energy comes out at 0.6394 eV per atom. The density of states at the Fermi level is 1.142 states/eV/atom. The calculation puts the relative energy among the computed polymorphs at 0 meV per atom.